1.
Compound: CaGa3Ag
Source: Alexandria via LeMat-Bulk
Functional: PBEsol
Structure: optimized geometry

The space group is Pm-3m (No. 221) and the conventional cell measures 5.3407, 5.3407 and 5.3407 Å, with angles of 90.00, 90.00 and 90.00 degrees. The distinct sites, in fractional coordinates, are Ca at (0.0000, 0.0000, 0.0000), Ga at (0.0000, 0.0000, 0.5000) and Ag at (0.5000, 0.5000, 0.5000).

As for the calculated volume: 30.47 Å³ per atom. For the total magnetization, the calculation gives 0.0 μB per cell. For the formation energy, the calculation gives 1.021 eV/atom.



2.
Compound: InNiTe
Source: Alexandria via LeMat-Bulk
Functional: PBEsol
Structure: optimized geometry

The space group is F-43m (No. 216) and the conventional cell measures 6.2992, 6.2992 and 6.2992 Å, with angles of 90.00, 90.00 and 90.00 degrees. The distinct sites, in fractional coordinates, are In at (0.0000, 0.0000, 0.0000), Ni at (0.2500, 0.2500, 0.7500) and Te at (0.0000, 0.0000, 0.5000).

As for the calculated volume: 20.83 Å³ per atom. Its uncorrected formation energy is -0.095 eV per atom. For the total magnetization, the calculation gives 0.0 μB per cell.



3.
Compound: LaReHg2
Source: Alexandria via LeMat-Bulk
Functional: PBEsol
Structure: optimized geometry

The space group is P4/mmm (No. 123) and the conventional cell measures 2.9720, 2.9720 and 9.2248 Å, with angles of 90.00, 90.00 and 90.00 degrees. The distinct sites, in fractional coordinates, are La at (0.0000, 0.0000, 0.0000), Re at (0.0000, 0.0000, 0.5000) and Hg at (0.5000, 0.5000, 0.2793).

As for the calculated volume: 20.37 Å³ per atom. For the total magnetization, the calculation gives 0.2 μB per cell. For the formation energy, the calculation gives 0.419 eV/atom.



4.
Compound: CuGeNO2
Source: Alexandria via LeMat-Bulk
Functional: PBEsol
Structure: optimized geometry

The space group is P4/mmm (No. 123) and the conventional cell measures 3.8287, 3.8287 and 3.6520 Å, with angles of 90.00, 90.00 and 90.00 degrees. The distinct sites, in fractional coordinates, are Cu at (0.0000, 0.0000, 0.0000), Ge at (0.5000, 0.5000, 0.5000), N at (0.0000, 0.0000, 0.5000) and O at (0.0000, 0.5000, 0.0000).

As for the calculated volume: 10.71 Å³ per atom. Its uncorrected formation energy is 0.452 eV per atom. For the total magnetization, the calculation gives 1.8 μB per cell.



5.
Compound: YW3
Source: Alexandria via LeMat-Bulk
Functional: PBEsol
Structure: optimized geometry

The space group is Pmm2 (No. 25) and the conventional cell measures 2.6730, 4.6354 and 5.7440 Å, with angles of 90.00, 90.00 and 90.00 degrees. The distinct sites, in fractional coordinates, are Y at (0.0000, 0.0000, 0.0000), W at (0.0000, 0.5000, 0.7028), W at (0.5000, 0.0000, 0.4987) and W at (0.5000, 0.5000, 0.2386).

As for the calculated volume: 17.79 Å³ per atom. For the total magnetization, the calculation gives 0.0 μB per cell. For the formation energy, the calculation gives 0.743 eV/atom.



6.
Compound: SrTiSeBr2
Source: Alexandria via LeMat-Bulk
Functional: PBEsol
Structure: optimized geometry

The space group is P4/mmm (No. 123) and the conventional cell measures 5.5528, 5.5528 and 5.8839 Å, with angles of 90.00, 90.00 and 90.00 degrees. The distinct sites, in fractional coordinates, are Sr at (0.0000, 0.0000, 0.0000), Ti at (0.5000, 0.5000, 0.5000), Se at (0.0000, 0.0000, 0.5000) and Br at (0.0000, 0.5000, 0.0000).

As for the calculated volume: 36.28 Å³ per atom. Its uncorrected formation energy is -0.266 eV per atom. For the total magnetization, the calculation gives 2.0 μB per cell.



7.
Compound: RbAlAg3
Source: Alexandria via LeMat-Bulk
Functional: PBEsol
Structure: optimized geometry

The space group is Pm-3m (No. 221) and the conventional cell measures 5.0435, 5.0435 and 5.0435 Å, with angles of 90.00, 90.00 and 90.00 degrees. The distinct sites, in fractional coordinates, are Rb at (0.0000, 0.0000, 0.0000), Al at (0.5000, 0.5000, 0.5000) and Ag at (0.0000, 0.5000, 0.5000).

As for the calculated volume: 25.66 Å³ per atom. For the total magnetization, the calculation gives 0.0 μB per cell. For the formation energy, the calculation gives 0.236 eV/atom.



8.
Compound: CaTlAu4
Source: Alexandria via LeMat-Bulk
Functional: PBEsol
Structure: optimized geometry

The space group is F-43m (No. 216) and the conventional cell measures 7.8522, 7.8522 and 7.8522 Å, with angles of 90.00, 90.00 and 90.00 degrees. The distinct sites, in fractional coordinates, are Ca at (0.0000, 0.0000, 0.0000), Tl at (0.2500, 0.2500, 0.2500) and Au at (0.1251, 0.1251, 0.6251).

As for the calculated volume: 20.17 Å³ per atom. For the total magnetization, the calculation gives 0.0 μB per cell. For the formation energy, the calculation gives -0.376 eV/atom.



| no. | D(E_F) (states/eV/f.u.) |
| --- | --- |
| 1 | 3.985 |
| 2 | 2.145 |
| 3 | 3.952 |
| 4 | 1.381 |
| 5 | 3.290 |
| 6 | 10.251 |
| 7 | 1.723 |
| 8 | 4.385 |